TmLuHg after structural relaxation, computed with GGA-PBE.

Values from the calculation:
Calculated volume in Å³ per cell: 79.64
Density of states at the Fermi level in states/eV per atom: 0.94
DFT formation energy in eV per atom: -0.29
Distance to the lowest polymorph of the same formula in meV per atom: 0

The structure in POSCAR format:
```
TmLuHg
1.0
-1.770 1.770 6.355
1.770 -1.770 6.355
1.770 1.770 -6.355
Tm Lu Hg
1 1 1
Direct
0.000 0.000 0.000
0.690 0.690 0.000
0.343 0.343 0.000
```